A geometry-optimized HoLuSb structure, computed with PBE.

Values from the calculation:
As for the crystal system: trigonal. The symmetry is P3m1. Its formation energy from raw total energies is -0.3923 eV/atom.

Lattice parameters (Å, degrees): 3.842 5.032 5.032 120.00 90.00 90.00
Element x y z (fractional)
1 Sb 0.313 0.333 0.667
2 Ho 0.610 0.667 0.333
3 Lu 0.078 0.000 0.000



A geometry-optimized SmDyAu structure, computed with PBE.

Values from the calculation:
As for the crystal system: orthorhombic. The value obtained for the energy above the most stable polymorph in this dataset is 0.0 kJ/mol of atoms. The symmetry is Pnma. As for the formation energy: -0.612 eV/atom.

Lattice parameters (Å, degrees): 5.010 9.017 7.218 90.00 90.00 90.00
Element x y z (fractional)
1 Au 0.250 0.402 0.752
2 Au 0.750 0.598 0.248
3 Au 0.250 0.098 0.252
4 Au 0.750 0.902 0.748
5 Sm 0.750 0.323 0.012
6 Sm 0.250 0.677 0.988
7 Sm 0.250 0.823 0.488
8 Sm 0.750 0.177 0.512
9 Dy 0.250 0.418 0.351
10 Dy 0.250 0.082 0.851
11 Dy 0.750 0.918 0.149
12 Dy 0.750 0.582 0.649



A geometry-optimized CoSiW2 structure, computed with PBE.

Values from the calculation:
As for the crystal system: orthorhombic. The symmetry is Imm2. Its formation energy from raw total energies is -0.0345 eV/atom.

Lattice parameters (Å, degrees): 4.902 4.902 4.902 142.78 128.86 64.93
Element x y z (fractional)
1 W 0.260 0.760 0.500
2 W 0.989 0.989 0.000
3 Co 0.521 0.521 0.000
4 Si 0.730 0.230 0.500



A geometry-optimized CaNbW2I structure, computed with PBE.

Values from the calculation:
As for the crystal system: tetragonal. The symmetry is P4/mmm. Its formation energy from raw total energies is 1.5128 eV/atom.

Lattice parameters (Å, degrees): 4.853 5.861 4.853 90.00 90.00 90.00
Element x y z (fractional)
1 W 0.500 0.000 0.000
2 W 0.000 0.000 0.500
3 Ca 0.500 0.500 0.500
4 Nb 0.000 0.000 0.000
5 I 0.000 0.500 0.000



A geometry-optimized TbPmRe structure, computed with PBE.

Values from the calculation:
As for the crystal system: monoclinic. The symmetry is P2_1/m. As for the formation energy: 0.168 eV/atom.

Lattice parameters (Å, degrees): 3.551 5.287 9.442 106.20 67.94 89.95
Element x y z (fractional)
1 Tb 0.169 0.790 0.581
2 Tb 0.831 0.210 0.419
3 Pm 0.076 0.587 0.174
4 Pm 0.924 0.413 0.826
5 Re 0.651 0.050 0.099
6 Re 0.349 0.950 0.901



A geometry-optimized Pu2TaGe4Pt3 structure, computed with PBE.

Values from the calculation:
As for the crystal system: tetragonal. The symmetry is P-4m2. As for the formation energy: -0.602 eV/atom.

Lattice parameters (Å, degrees): 4.218 4.218 10.882 90.00 90.00 90.00
Element x y z (fractional)
1 Ge 0.000 0.500 0.356
2 Ge 0.500 0.500 0.000
3 Ge 0.000 0.000 0.000
4 Ge 0.500 0.000 0.644
5 Pt 0.500 0.000 0.872
6 Pt 0.000 0.500 0.128
7 Pt 0.000 0.000 0.500
8 Pu 0.500 0.000 0.248
9 Pu 0.000 0.500 0.752
10 Ta 0.500 0.500 0.500



A geometry-optimized Zn4Cu4Au structure, computed with PBE.

Values from the calculation:
As for the crystal system: tetragonal. The value obtained for the energy above the most stable polymorph in this dataset is 0.0 kJ/mol of atoms. The symmetry is I4/mmm. As for the formation energy: -0.093 eV/atom.

Lattice parameters (Å, degrees): 3.835 5.992 5.992 84.12 71.34 71.34
Element x y z (fractional)
1 Zn 0.672 0.656 0.000
2 Zn 0.328 0.344 0.000
3 Zn 0.328 0.000 0.344
4 Zn 0.672 0.000 0.656
5 Cu 0.342 0.658 0.658
6 Cu 0.658 0.342 0.342
7 Cu 0.000 0.342 0.658
8 Cu 0.000 0.658 0.342
9 Au 0.000 0.000 0.000



A geometry-optimized Dy2Er2Sb3 structure, computed with PBE.

Values from the calculation:
As for the crystal system: triclinic. The value obtained for the energy above the most stable polymorph in this dataset is 14.0 kJ/mol of atoms. The symmetry is P-1. Its formation energy from raw total energies is -0.8246 eV/atom.

Lattice parameters (Å, degrees): 4.338 7.320 7.339 98.89 90.03 107.30
Element x y z (fractional)
1 Dy 0.376 0.752 0.136
2 Dy 0.624 0.248 0.864
3 Sb 0.000 0.000 0.000
4 Sb 0.258 0.515 0.747
5 Sb 0.742 0.485 0.253
6 Er 0.119 0.239 0.384
7 Er 0.881 0.761 0.616